Model A:
Computed, not measured: a relaxed structure of Sr3Cd2Ag4 at the PBE level of DFT.

Unit cell a=4.937 b=6.369 c=9.368 alpha=69.99 beta=74.72 gamma=67.20
Fractional positions:
1 Sr 0.000 0.000 0.000
2 Ag 0.917 0.750 0.417
3 Ag 0.727 0.607 0.938
4 Sr 0.357 0.599 0.688
5 Sr 0.643 0.401 0.312
6 Cd 0.345 0.988 0.321
7 Ag 0.083 0.250 0.583
8 Cd 0.655 0.012 0.679
9 Ag 0.273 0.393 0.062

* total magnetic moment: 0.0 μB per formula unit
* space group: No. 12
* mass density: 6052 kg/m³

=====

Model B:
Computed, not measured: a relaxed structure of Sr3Cd2Ag4 at the PBE level of DFT.

Unit cell a=4.808 b=6.149 c=9.436 alpha=97.91 beta=90.00 gamma=113.01
Fractional positions:
1 Ag 0.727 0.454 0.079
2 Ag 0.918 0.835 0.367
3 Cd 0.313 0.626 0.231
4 Ag 0.273 0.546 0.921
5 Ag 0.082 0.165 0.633
6 Sr 0.624 0.249 0.382
7 Sr 0.376 0.751 0.618
8 Sr 0.000 0.000 0.000
9 Cd 0.687 0.374 0.769

* total magnetic moment: 0.0 μB per formula unit
* space group: No. 12
* mass density: 6012 kg/m³

=====

Most stable to least stable, the ends of the list are model A and model B.

=====

Model A:
Computed, not measured: a relaxed structure of SrCd2Ag2 at the PBE level of DFT.

Unit cell a=5.064 b=5.064 c=6.256 alpha=66.12 beta=66.12 gamma=90.00
Fractional positions:
1 Ag 0.250 0.750 0.500
2 Cd 0.364 0.364 0.272
3 Sr 0.000 0.000 0.000
4 Cd 0.636 0.636 0.728
5 Ag 0.750 0.250 0.500

* total magnetic moment: 0.0 μB per formula unit
* space group: No. 139
* mass density: 6667 kg/m³

=====

Model B:
Computed, not measured: a relaxed structure of SrCd2Ag2 at the PBE level of DFT.

Unit cell a=8.502 b=8.502 c=3.245 alpha=90.00 beta=90.00 gamma=90.00
Fractional positions:
1 Cd 0.877 0.623 0.000
2 Ag 0.174 0.674 0.500
3 Cd 0.377 0.877 0.000
4 Sr 0.500 0.500 0.000
5 Cd 0.123 0.377 0.000
6 Cd 0.623 0.123 0.000
7 Ag 0.674 0.826 0.500
8 Ag 0.826 0.326 0.500
9 Sr 0.000 0.000 0.000
10 Ag 0.326 0.174 0.500

* total magnetic moment: 0.0 μB per formula unit
* space group: No. 127
* mass density: 7480 kg/m³

=====

Model C:
Computed, not measured: a relaxed structure of SrCd2Ag2 at the PBE level of DFT.

Unit cell a=5.993 b=6.968 c=7.818 alpha=70.27 beta=67.79 gamma=64.42
Fractional positions:
1 Ag 0.290 0.685 0.451
2 Cd 0.845 0.852 0.723
3 Ag 0.577 0.182 0.949
4 Cd 0.427 0.644 0.779
5 Cd 0.573 0.356 0.221
6 Cd 0.155 0.148 0.277
7 Ag 0.710 0.315 0.549
8 Sr 0.862 0.751 0.252
9 Ag 0.423 0.818 0.051
10 Sr 0.138 0.249 0.748

* total magnetic moment: 0.0 μB per formula unit
* space group: No. 2
* mass density: 6579 kg/m³

=====

Most stable to least stable, the ends of the list are model C and model B.